First-principles (GGA-PBE) data for crystalline Sm2Zn5Ge at its relaxed geometry, as listed in Alexandria.

The value obtained for the total moment is 0.00 μB per atom. The value obtained for the energy relative to the elements is -3.72 eV per formula unit. Its calculated total energy is -3.019 eV/atom. The value obtained for the density of states at the Fermi level is 14.230 states/eV/cell.

It has space group Cmcm (No. 63), with a = 4.3663 Å, b = 16.0893 Å, c = 8.8557 Å, α = 90.00°, β = 90.00° and γ = 90.00°. The distinct sites, in fractional coordinates, are Sm at (0.0000, 0.0000, 0.0000), Sm at (0.0000, 0.2019, 0.2500), Zn at (0.0000, 0.1864, 0.6070), Zn at (0.0000, 0.3489, 0.5224), Zn at (0.0000, 0.4002, 0.2500) and Ge at (0.0000, 0.4453, 0.7500).

---

First-principles (GGA-PBE) data for crystalline LaPrSi2Pd5 at its relaxed geometry, as listed in Alexandria.

The value obtained for the total moment is 0.00 μB per atom. The calculation puts the energy relative to the elements, uncorrected at -0.8767 eV/atom. Its calculated total energy is -6.045 eV/atom. The value obtained for the density of states at the Fermi level is 3.035 states/eV/cell.

It has space group P4/mmm (No. 123), with a = 4.3201 Å, b = 4.3201 Å, c = 8.9963 Å, α = 90.00°, β = 90.00° and γ = 90.00°. The distinct sites, in fractional coordinates, are La at (0.0000, 0.0000, 0.0000), Pr at (0.0000, 0.0000, 0.5000), Si at (0.5000, 0.5000, 0.1360), Pd at (0.0000, 0.5000, 0.2673) and Pd at (0.5000, 0.5000, 0.5000).

---

First-principles (GGA-PBE) data for crystalline Pm10Y4Er at its relaxed geometry, as listed in Alexandria.

The value obtained for the total moment is 0.00 μB per atom. The value obtained for the energy relative to the elements is 10.85 eV per formula unit. Its calculated total energy is -4.472 eV/atom. The value obtained for the density of states at the Fermi level is 43.128 states/eV/cell.

It has space group I4/m (No. 87), with a = 12.3602 Å, b = 12.3602 Å, c = 7.7939 Å, α = 90.00°, β = 90.00° and γ = 90.00°. The distinct sites, in fractional coordinates, are Pm at (0.0000, 0.5000, 0.2500), Pm at (0.0990, 0.1991, 0.2487), Y at (0.1005, 0.7005, 0.5000) and Er at (0.0000, 0.0000, 0.0000).

---

First-principles (GGA-PBE) data for crystalline ZnTcN3 at its relaxed geometry, as listed in Alexandria.

The value obtained for the total moment is 0.00 μB per atom. The calculation puts the energy relative to the elements, uncorrected at 2.1332 eV/atom. Its calculated total energy is -5.190 eV/atom. The value obtained for the density of states at the Fermi level is 7.277 states/eV/cell.

It has space group Pm-3m (No. 221), with a = 3.7276 Å, b = 3.7276 Å, c = 3.7276 Å, α = 90.00°, β = 90.00° and γ = 90.00°. The distinct sites, in fractional coordinates, are Zn at (0.0000, 0.0000, 0.0000), Tc at (0.5000, 0.5000, 0.5000) and N at (0.0000, 0.0000, 0.5000).

---

First-principles (GGA-PBE) data for crystalline TbPuBr6 at its relaxed geometry, as listed in Alexandria.

The value obtained for the total moment is 0.62 μB per atom. The calculation puts the energy relative to the elements, uncorrected at -1.6433 eV/atom. Its calculated total energy is -5.268 eV/atom. The value obtained for the density of states at the Fermi level is 30.896 states/eV/cell. The excess energy over the best structure of this formula in the dataset comes out at 0.0186 eV/atom.

It has space group R-3 (No. 148, hexagonal axes), with a = 7.1102 Å, b = 7.1102 Å, c = 19.8384 Å, α = 90.00°, β = 90.00° and γ = 120.00°. The distinct sites, in fractional coordinates, are Tb at (0.0000, 0.0000, 0.0000), Pu at (0.0000, 0.0000, 0.5000) and Br at (0.0020, 0.6570, 0.7481).

---

First-principles (GGA-PBE) data for crystalline KNaGa3 at its relaxed geometry, as listed in Alexandria.

The value obtained for the total moment is 0.00 μB per atom. The value obtained for the energy relative to the elements is 2.12 eV per formula unit. Its calculated total energy is -1.875 eV/atom. The value obtained for the density of states at the Fermi level is 2.822 states/eV/cell. The excess energy over the best structure of this formula in the dataset comes out at 0.0000 eV/atom.

It has space group Pm-3m (No. 221), with a = 5.4312 Å, b = 5.4312 Å, c = 5.4312 Å, α = 90.00°, β = 90.00° and γ = 90.00°. The distinct sites, in fractional coordinates, are K at (0.0000, 0.0000, 0.0000), Na at (0.5000, 0.5000, 0.5000) and Ga at (0.0000, 0.5000, 0.5000).

---

First-principles (GGA-PBE) data for crystalline BaSbW2 at its relaxed geometry, as listed in Alexandria.

The value obtained for the total moment is 0.00 μB per atom. The calculation puts the energy relative to the elements, uncorrected at 1.2873 eV/atom. Its calculated total energy is -6.701 eV/atom. The value obtained for the density of states at the Fermi level is 7.085 states/eV/cell.

It has space group Cmmm (No. 65), with a = 3.5533 Å, b = 4.9972 Å, c = 10.0628 Å, α = 90.00°, β = 90.00° and γ = 90.00°. The distinct sites, in fractional coordinates, are Ba at (0.0000, 0.0000, 0.0000), Sb at (0.0000, 0.0000, 0.5000) and W at (0.0000, 0.5000, 0.2899).

---

First-principles (GGA-PBE) data for crystalline LiSiPb2 at its relaxed geometry, as listed in Alexandria.

The value obtained for the total moment is 0.00 μB per atom. The calculation puts the energy relative to the elements, uncorrected at 0.0818 eV/atom. Its calculated total energy is -3.607 eV/atom. The value obtained for the density of states at the Fermi level is 1.379 states/eV/cell.

It has space group Pm (No. 6), with a = 4.1873 Å, b = 4.2803 Å, c = 5.6538 Å, α = 90.00°, β = 110.61° and γ = 90.00°. The distinct sites, in fractional coordinates, are Li at (0.0000, 0.0000, 0.0000), Si at (0.8612, 0.5000, 0.7089), Pb at (0.2903, 0.0000, 0.5723) and Pb at (0.5616, 0.5000, 0.1258).

---

First-principles (GGA-PBE) data for crystalline SrMnCr2 at its relaxed geometry, as listed in Alexandria.

The value obtained for the total moment is 1.04 μB per atom. The value obtained for the energy relative to the elements is 2.22 eV per formula unit. Its calculated total energy is -6.969 eV/atom. The value obtained for the density of states at the Fermi level is 8.391 states/eV/cell. The excess energy over the best structure of this formula in the dataset comes out at 0.0000 eV/atom.

It has space group R3m (No. 160, hexagonal axes), with a = 4.2732 Å, b = 4.2732 Å, c = 17.2869 Å, α = 90.00°, β = 90.00° and γ = 120.00°. The distinct sites, in fractional coordinates, are Sr at (0.0000, 0.0000, 0.0000), Mn at (0.0000, 0.0000, 0.8013), Cr at (0.0000, 0.0000, 0.2002) and Cr at (0.0000, 0.0000, 0.4968).

---

First-principles (GGA-PBE) data for crystalline Ba3ErIr2O9 at its relaxed geometry, as listed in Alexandria.

The value obtained for the total moment is 0.21 μB per atom. The calculation puts the energy relative to the elements, uncorrected at -2.0883 eV/atom. Its calculated total energy is -6.933 eV/atom. The value obtained for the density of states at the Fermi level is 4.431 states/eV/cell.

It has space group P-3m1 (No. 164), with a = 5.8755 Å, b = 5.8755 Å, c = 7.2059 Å, α = 90.00°, β = 90.00° and γ = 120.00°. The distinct sites, in fractional coordinates, are Ba at (0.0000, 0.0000, 0.0000), Ba at (0.3333, 0.6667, 0.6718), Er at (0.0000, 0.0000, 0.5000), Ir at (0.3333, 0.6667, 0.1598), O at (0.0000, 0.5000, 0.0000) and O at (0.1755, 0.3510, 0.3212).

---

First-principles (GGA-PBE) data for crystalline Sr2MnNiH6 at its relaxed geometry, as listed in Alexandria.

The value obtained for the total moment is 0.31 μB per atom. Its calculated total energy is -4.130 eV/atom. The value obtained for the density of states at the Fermi level is 11.134 states/eV/cell.

It has space group Immm (No. 71), with a = 5.3112 Å, b = 5.3456 Å, c = 7.4989 Å, α = 90.00°, β = 90.00° and γ = 90.00°. The distinct sites, in fractional coordinates, are Sr at (0.0000, 0.0000, 0.2501), Mn at (0.0000, 0.5000, 0.0000), Ni at (0.0000, 0.5000, 0.5000), H at (0.0000, 0.5000, 0.2579) and H at (0.2412, 0.2583, 0.5000).

---

First-principles (GGA-PBE) data for crystalline LuMgTiS4 at its relaxed geometry, as listed in Alexandria.

The value obtained for the total moment is 0.14 μB per atom. The calculation puts the energy relative to the elements, uncorrected at -1.5887 eV/atom. Its calculated total energy is -5.949 eV/atom. The value obtained for the density of states at the Fermi level is 13.124 states/eV/cell.

It has space group Imma (No. 74), with a = 7.3919 Å, b = 7.6728 Å, c = 10.7303 Å, α = 90.00°, β = 90.00° and γ = 90.00°. The distinct sites, in fractional coordinates, are Lu at (0.0000, 0.0000, 0.0000), Mg at (0.0000, 0.2500, 0.3721), Ti at (0.2500, 0.2500, 0.7500), S at (0.0000, 0.0234, 0.7513) and S at (0.2458, 0.2500, 0.9834).